First-principles (PBE) data for a relaxed Zr2UAs3 crystal, as listed in Alexandria via LeMat-Bulk.

Results
Formation energy, eV/atom: -1.0078
Crystal system: orthorhombic

Cell lengths 13.0261, 12.4238, 6.8217 Å; angles 79.39, 69.63, 30.98 degrees
Last column: nearest neighbours and their distance in Å.
Sites, in units of the cell vectors:
Zr: 0.0431 0.0431 0.2069  6 As 2.72-2.80
Zr: 0.1254 0.1254 0.6246  6 As 2.75-2.79
Zr: 0.2069 0.2069 0.0431  6 As 2.72-2.80
Zr: 0.3754 0.3754 0.8746  6 As 2.75-2.79
Zr: 0.6246 0.6246 0.1254  6 As 2.75-2.79
Zr: 0.7931 0.7931 0.9569  6 As 2.72-2.80
Zr: 0.8746 0.8746 0.3754  6 As 2.75-2.79
Zr: 0.9569 0.9569 0.7931  6 As 2.72-2.80
U: 0.2915 0.2915 0.4585  6 As 2.82-2.83
U: 0.4585 0.4585 0.2915  6 As 2.82-2.83
U: 0.5415 0.5415 0.7085  6 As 2.82-2.83
U: 0.7085 0.7085 0.5415  6 As 2.82-2.83
As: 0.0445 0.5406 0.1989  4 Zr 2.74-2.80, 2 U 2.82-2.83
As: 0.1186 0.6314 0.6314  4 Zr 2.72-2.78, 2 U 2.82
As: 0.1989 0.7161 0.0445  4 Zr 2.74-2.80, 2 U 2.82-2.83
As: 0.2839 0.8011 0.4594  4 Zr 2.74-2.80, 2 U 2.82-2.83
As: 0.3686 0.8814 0.8814  4 Zr 2.72-2.78, 2 U 2.82
As: 0.4594 0.9555 0.2839  4 Zr 2.74-2.80, 2 U 2.82-2.83
As: 0.5406 0.0445 0.7161  4 Zr 2.74-2.80, 2 U 2.82-2.83
As: 0.6314 0.1186 0.1186  4 Zr 2.72-2.78, 2 U 2.82
As: 0.7161 0.1989 0.5406  4 Zr 2.74-2.80, 2 U 2.82-2.83
As: 0.8011 0.2839 0.9555  4 Zr 2.74-2.80, 2 U 2.82-2.83
As: 0.8814 0.3686 0.3686  4 Zr 2.72-2.78, 2 U 2.82
As: 0.9555 0.4594 0.8011  4 Zr 2.74-2.80, 2 U 2.82-2.83

First-principles (PBE) data for a relaxed ZrU3As4 crystal, as listed in Alexandria via LeMat-Bulk.

Results
Formation energy, eV/atom: -0.8322
Crystal system: monoclinic

Cell lengths 7.1449, 7.9580, 6.8539 Å; angles 90.00, 108.95, 90.00 degrees
Last column: nearest neighbours and their distance in Å.
Sites, in units of the cell vectors:
Zr: 0.0000 0.1250 0.2500  6 As 2.79-2.80
Zr: 0.0000 0.8750 0.7500  6 As 2.79-2.80
U: 0.0000 0.3761 0.7500  6 As 2.84-2.85
U: 0.0000 0.6239 0.2500  6 As 2.84-2.85
U: 0.5000 0.1222 0.7500  6 As 2.85-2.90
U: 0.5000 0.3719 0.2500  6 As 2.85-2.91
U: 0.5000 0.6281 0.7500  6 As 2.85-2.91
U: 0.5000 0.8778 0.2500  6 As 2.85-2.90
As: 0.2396 0.1211 0.9975  2 Zr 2.79-2.80, 4 U 2.84-2.90
As: 0.2396 0.8789 0.4975  2 Zr 2.79-2.80, 4 U 2.84-2.90
As: 0.2459 0.3700 0.4966  1 Zr 2.80, 5 U 2.84-2.91
As: 0.2459 0.6300 0.9966  1 Zr 2.80, 5 U 2.84-2.91
As: 0.7541 0.3700 0.0034  1 Zr 2.80, 5 U 2.84-2.91
As: 0.7541 0.6300 0.5034  1 Zr 2.80, 5 U 2.84-2.91
As: 0.7604 0.1211 0.5025  2 Zr 2.79-2.80, 4 U 2.84-2.90
As: 0.7604 0.8789 0.0025  2 Zr 2.79-2.80, 4 U 2.84-2.90

First-principles (PBE) data for a relaxed ZrU2As3 crystal, as listed in Alexandria via LeMat-Bulk.

Results
Formation energy, eV/atom: -0.8899
Crystal system: orthorhombic

Cell lengths 13.2462, 12.6294, 6.9501 Å; angles 79.38, 69.57, 31.04 degrees
Last column: nearest neighbours and their distance in Å.
Sites, in units of the cell vectors:
Zr: 0.0413 0.0413 0.2087  6 As 2.77-2.79
Zr: 0.2087 0.2087 0.0413  6 As 2.77-2.79
Zr: 0.7913 0.7913 0.9587  6 As 2.77-2.79
Zr: 0.9587 0.9587 0.7913  6 As 2.77-2.79
U: 0.1266 0.1266 0.6234  6 As 2.84-2.86
U: 0.2929 0.2929 0.4571  6 As 2.86-2.88
U: 0.3766 0.3766 0.8734  6 As 2.84-2.86
U: 0.4571 0.4571 0.2929  6 As 2.86-2.88
U: 0.5429 0.5429 0.7071  6 As 2.86-2.88
U: 0.6234 0.6234 0.1266  6 As 2.84-2.86
U: 0.7071 0.7071 0.5429  6 As 2.86-2.88
U: 0.8734 0.8734 0.3766  6 As 2.84-2.86
As: 0.0418 0.5386 0.1997  2 Zr 2.77-2.79, 4 U 2.85-2.88
As: 0.1138 0.6362 0.6362  2 Zr 2.78, 4 U 2.84-2.88
As: 0.1997 0.7199 0.0418  2 Zr 2.77-2.79, 4 U 2.85-2.88
As: 0.2801 0.8003 0.4614  2 Zr 2.77-2.79, 4 U 2.85-2.88
As: 0.3638 0.8862 0.8862  2 Zr 2.78, 4 U 2.84-2.88
As: 0.4614 0.9582 0.2801  2 Zr 2.77-2.79, 4 U 2.85-2.88
As: 0.5386 0.0418 0.7199  2 Zr 2.77-2.79, 4 U 2.85-2.88
As: 0.6362 0.1138 0.1138  2 Zr 2.78, 4 U 2.84-2.88
As: 0.7199 0.1997 0.5386  2 Zr 2.77-2.79, 4 U 2.85-2.88
As: 0.8003 0.2801 0.9582  2 Zr 2.77-2.79, 4 U 2.85-2.88
As: 0.8862 0.3638 0.3638  2 Zr 2.78, 4 U 2.84-2.88
As: 0.9582 0.4614 0.8003  2 Zr 2.77-2.79, 4 U 2.85-2.88

First-principles (PBE) data for a relaxed ZrUAs2 crystal, as listed in Alexandria via LeMat-Bulk.

Results
Formation energy, eV/atom: -0.8531
Crystal system: trigonal

Cell lengths 3.8651, 3.8651, 20.8984 Å; angles 90.00, 90.00, 120.00 degrees
Last column: nearest neighbours and their distance in Å.
Sites, in units of the cell vectors:
Zr: 0.0000 0.0000 0.0000  6 As 2.74-2.82
Zr: 0.3333 0.6667 0.6667  6 As 2.74-2.82
Zr: 0.6667 0.3333 0.3333  6 As 2.74-2.82
U: 0.0000 0.0000 0.1737  6 As 2.83-2.93
U: 0.3333 0.6667 0.8404  6 As 2.83-2.93
U: 0.6667 0.3333 0.5070  6 As 2.83-2.93
As: 0.0000 0.0000 0.5907  3 Zr 2.74, 3 U 2.83
As: 0.0000 0.0000 0.7495  3 Zr 2.82, 3 U 2.93
As: 0.3333 0.6667 0.2573  3 Zr 2.74, 3 U 2.83
As: 0.3333 0.6667 0.4162  3 Zr 2.82, 3 U 2.93
As: 0.6667 0.3333 0.0828  3 Zr 2.82, 3 U 2.93
As: 0.6667 0.3333 0.9240  3 Zr 2.74, 3 U 2.83